# Nd2NiSn4Pt3 (PBE-GGA, optimized geometry)
# Total magnetization   0.0000 μB per atom
# Calculated total energy   -5.71 eV/atom
# ΔH_f (0 K)   -7.7 eV per formula unit
data_Nd2NiSn4Pt3
_chemical_formula_sum 'Nd2 Ni1 Sn4 Pt3'
_symmetry_space_group_name_H-M 'P -4 m 2'
_symmetry_Int_Tables_number 115
_symmetry_space_group_name_Hall 'P -4 -2'
_cell_length_a 4.553
_cell_length_b 4.553
_cell_length_c 10.767
_cell_angle_alpha 90.00
_cell_angle_beta 90.00
_cell_angle_gamma 90.00
loop_
_atom_site_label
_atom_site_type_symbol
_atom_site_fract_x
_atom_site_fract_y
_atom_site_fract_z
Nd1 Nd 0.000 0.500 0.235
Ni1 Ni 0.500 0.500 0.000
Sn1 Sn 0.000 0.000 0.500
Sn2 Sn 0.000 0.500 0.877
Sn3 Sn 0.500 0.500 0.500
Pt1 Pt 0.000 0.000 0.000
Pt2 Pt 0.000 0.500 0.634